Here is a relaxed SnHg3Pb crystal from Alexandria. Energies are from PBE.

Results
N(E_F) in states/eV/f.u.: 1.81
Energy relative to the lowest polymorph listed for this composition in meV/atom: 0

Cell lengths 5.8549, 6.5417, 8.0886 Å; angles 89.45, 81.64, 71.91 degrees
With the nearest neighbours (Å) after each atom.
Element x y z (fractional)
1 Sn 0.2463 0.4706 0.1016  2 Hg 3.03-3.04, 2 Pb 3.30, 1 Sn 3.31
2 Sn 0.7537 0.5294 0.8984  2 Hg 3.03-3.04, 2 Pb 3.30, 1 Sn 3.31
3 Hg 0.0000 0.0000 0.0000  4 Hg 2.93-3.16, 2 Pb 3.18
4 Hg 0.2044 0.8431 0.3362  1 Sn 3.03, 4 Hg 3.03-3.34, 1 Pb 3.35
5 Hg 0.2824 0.2353 0.4852  3 Hg 3.03-3.36, 2 Pb 3.15-3.34
6 Hg 0.5000 0.0000 0.0000  2 Hg 2.93, 2 Sn 3.04
7 Hg 0.7176 0.7647 0.5148  3 Hg 3.03-3.36, 2 Pb 3.15-3.34
8 Hg 0.7956 0.1569 0.6638  1 Sn 3.03, 4 Hg 3.03-3.34, 1 Pb 3.35
9 Pb 0.2445 0.6349 0.7150  4 Hg 3.15-3.35, 3 Sn 3.30-3.40
10 Pb 0.7555 0.3651 0.2850  4 Hg 3.15-3.35, 3 Sn 3.30-3.40